(1)
Crystalline CoNi2 at its relaxed geometry. Source: Alexandria via LeMat-Bulk, functional PBE-GGA.

Properties
Final energy (eV/atom): -5.439
DOS(E_F) (states/eV/atom): 1.34
ΔE_f (meV per atom): 784

Cell: 5.4274 5.4274 5.4274 Å, 90.00 90.00 90.00°
Last column: nearest neighbours and their distance in Å.
Positions (direct):
Co  0.0000  0.0000  0.0000  6 Ni 2.25
Co  0.0000  0.5000  0.5000  6 Ni 2.25
Co  0.5000  0.0000  0.5000  6 Ni 2.25
Co  0.5000  0.5000  0.0000  6 Ni 2.25
Ni  0.1243  0.6243  0.8757  3 Co 2.25, 1 Ni 2.34
Ni  0.1243  0.8757  0.3757  3 Co 2.25, 1 Ni 2.34
Ni  0.3757  0.1243  0.8757  3 Co 2.25, 1 Ni 2.34
Ni  0.3757  0.3757  0.3757  3 Co 2.25, 1 Ni 2.34
Ni  0.6243  0.6243  0.6243  3 Co 2.25, 1 Ni 2.34
Ni  0.6243  0.8757  0.1243  3 Co 2.25, 1 Ni 2.34
Ni  0.8757  0.1243  0.6243  3 Co 2.25, 1 Ni 2.34
Ni  0.8757  0.3757  0.1243  3 Co 2.25, 1 Ni 2.34


(2)
Crystalline CoNi2 at its relaxed geometry. Source: Alexandria via LeMat-Bulk, functional PBE-GGA.

Properties
Final energy (eV/atom): -6.179
DOS(E_F) (states/eV/atom): 1.06
ΔE_f (meV per atom): 44

Cell: 6.8248 6.8248 2.4496 Å, 90.00 90.00 120.00°
Last column: nearest neighbours and their distance in Å.
Positions (direct):
Co  0.0000  0.0000  0.0000  9 Ni 2.41-2.46, 2 Co 2.45
Co  0.3333  0.6667  0.5000  9 Ni 2.38-2.51, 2 Co 2.45
Co  0.6667  0.3333  0.5000  9 Ni 2.38-2.51, 2 Co 2.45
Ni  0.0000  0.3044  0.5000  4 Co 2.38-2.41, 8 Ni 2.45-2.60
Ni  0.0000  0.6395  0.0000  8 Ni 2.45-2.60, 5 Co 2.46-2.51
Ni  0.3044  0.0000  0.5000  4 Co 2.38-2.41, 8 Ni 2.45-2.60
Ni  0.3605  0.3605  0.0000  8 Ni 2.45-2.60, 5 Co 2.46-2.51
Ni  0.6395  0.0000  0.0000  8 Ni 2.45-2.60, 5 Co 2.46-2.51
Ni  0.6956  0.6956  0.5000  4 Co 2.38-2.41, 8 Ni 2.45-2.60


(3)
Crystalline CoNi3 at its relaxed geometry. Source: Alexandria via LeMat-Bulk, functional PBE-GGA.

Properties
Final energy (eV/atom): -6.118
DOS(E_F) (states/eV/atom): 1.32
ΔE_f (meV per atom): -5

Cell: 4.3048 4.3048 4.3161 Å, 99.44 99.44 33.51°
Last column: nearest neighbours and their distance in Å.
Positions (direct):
Co  0.0000  0.0000  0.0000  2 Co 2.48, 10 Ni 2.48-2.49
Ni  0.2505  0.2505  0.7514  9 Ni 2.48-2.50, 3 Co 2.48-2.49
Ni  0.5000  0.5000  0.5000  8 Ni 2.48-2.49, 4 Co 2.49
Ni  0.7495  0.7495  0.2486  9 Ni 2.48-2.50, 3 Co 2.48-2.49


(4)
Crystalline Co3Ni at its relaxed geometry. Source: Alexandria via LeMat-Bulk, functional PBE-GGA.

Properties
Final energy (eV/atom): -6.781
DOS(E_F) (states/eV/atom): 0.95
ΔE_f (meV per atom): -6

Cell: 4.7399 4.7399 4.3275 Å, 116.97 116.97 30.50°
Last column: nearest neighbours and their distance in Å.
Positions (direct):
Co  0.0000  0.0000  0.0000  9 Co 2.47-2.50, 3 Ni 2.48-2.49
Co  0.2507  0.2507  0.9181  8 Co 2.47-2.49, 4 Ni 2.49-2.50
Co  0.5015  0.5015  0.5014  3 Ni 2.47-2.48, 9 Co 2.48-2.50
Ni  0.7508  0.7508  0.4175  10 Co 2.47-2.50, 2 Ni 2.49


(5)
Crystalline Co2Ni at its relaxed geometry. Source: Alexandria via LeMat-Bulk, functional PBE-GGA.

Properties
Final energy (eV/atom): -6.386
DOS(E_F) (states/eV/atom): 0.87
ΔE_f (meV per atom): 278

Cell: 8.1568 8.1568 8.1568 Å, 162.90 153.11 32.04°
Last column: nearest neighbours and their distance in Å.
Positions (direct):
Co  0.2882  0.0382  0.2500  5 Co 2.24-2.43
Co  0.4362  0.1862  0.2500  5 Co 2.32-2.43, 4 Ni 2.53
Co  0.5638  0.8138  0.7500  5 Co 2.32-2.43, 4 Ni 2.53
Co  0.7118  0.9618  0.7500  5 Co 2.24-2.43
Ni  0.1370  0.3870  0.7500  2 Ni 2.43, 10 Co 2.53-2.66
Ni  0.8630  0.6130  0.2500  2 Ni 2.43, 10 Co 2.53-2.66


(6)
Crystalline Co3Ni5 at its relaxed geometry. Source: Alexandria via LeMat-Bulk, functional PBE-GGA.

Properties
Final energy (eV/atom): -6.044
DOS(E_F) (states/eV/atom): 1.41
ΔE_f (meV per atom): 234

Cell: 6.8514 6.8514 4.4854 Å, 90.00 90.00 120.00°
Last column: nearest neighbours and their distance in Å.
Positions (direct):
Co  0.0000  0.4118  0.2500  9 Ni 2.35-2.62, 2 Co 2.55
Co  0.0000  0.5882  0.7500  9 Ni 2.35-2.62, 2 Co 2.55
Co  0.4118  0.0000  0.2500  9 Ni 2.35-2.62, 2 Co 2.55
Co  0.4118  0.4118  0.7500  9 Ni 2.35-2.62, 2 Co 2.55
Co  0.5882  0.0000  0.7500  9 Ni 2.35-2.62, 2 Co 2.55
Co  0.5882  0.5882  0.2500  9 Ni 2.35-2.62, 2 Co 2.55
Ni  0.0000  0.2149  0.7500  5 Co 2.44-2.62, 6 Ni 2.55-2.68
Ni  0.0000  0.7851  0.2500  5 Co 2.44-2.62, 6 Ni 2.55-2.68
Ni  0.2149  0.0000  0.7500  5 Co 2.44-2.62, 6 Ni 2.55-2.68
Ni  0.2149  0.2149  0.2500  5 Co 2.44-2.62, 6 Ni 2.55-2.68
Ni  0.3333  0.6667  0.0000  2 Ni 2.24, 6 Co 2.35
Ni  0.3333  0.6667  0.5000  2 Ni 2.24, 6 Co 2.35
Ni  0.6667  0.3333  0.0000  2 Ni 2.24, 6 Co 2.35
Ni  0.6667  0.3333  0.5000  2 Ni 2.24, 6 Co 2.35
Ni  0.7851  0.0000  0.2500  5 Co 2.44-2.62, 6 Ni 2.55-2.68
Ni  0.7851  0.7851  0.7500  5 Co 2.44-2.62, 6 Ni 2.55-2.68


(7)
Crystalline CoNi3 at its relaxed geometry. Source: Alexandria via LeMat-Bulk, functional PBE-GGA.

Properties
Final energy (eV/atom): -5.988
DOS(E_F) (states/eV/atom): 1.11
ΔE_f (meV per atom): 125

Cell: 4.4657 4.4657 4.4657 Å, 90.00 90.00 90.00°
Last column: nearest neighbours and their distance in Å.
Positions (direct):
Co  0.0000  0.0000  0.0000  12 Ni 2.50
Co  0.5000  0.5000  0.5000  12 Ni 2.50
Ni  0.0000  0.2500  0.5000  2 Ni 2.23, 4 Co 2.50
Ni  0.0000  0.7500  0.5000  2 Ni 2.23, 4 Co 2.50
Ni  0.2500  0.5000  0.0000  2 Ni 2.23, 4 Co 2.50
Ni  0.5000  0.0000  0.2500  2 Ni 2.23, 4 Co 2.50
Ni  0.5000  0.0000  0.7500  2 Ni 2.23, 4 Co 2.50
Ni  0.7500  0.5000  0.0000  2 Ni 2.23, 4 Co 2.50


(8)
Crystalline Co3Ni at its relaxed geometry. Source: Alexandria via LeMat-Bulk, functional PBE-GGA.

Properties
Final energy (eV/atom): -6.676
DOS(E_F) (states/eV/atom): 1.15
ΔE_f (meV per atom): 99

Cell: 2.9334 2.9334 5.1432 Å, 90.00 90.00 90.00°
Last column: nearest neighbours and their distance in Å.
Positions (direct):
Co  0.0000  0.0000  0.0000  8 Co 2.44, 2 Ni 2.57
Co  0.5000  0.5000  0.2515  4 Ni 2.44, 6 Co 2.44-2.59
Co  0.5000  0.5000  0.7485  4 Ni 2.44, 6 Co 2.44-2.59
Ni  0.0000  0.0000  0.5000  10 Co 2.44-2.57


(9)
Crystalline Co13Ni2 at its relaxed geometry. Source: Alexandria via LeMat-Bulk, functional PBE-GGA.

Properties
Final energy (eV/atom): -6.854
DOS(E_F) (states/eV/atom): 1.01
ΔE_f (meV per atom): 76

Cell: 4.6813 6.1252 6.3048 Å, 69.02 82.37 79.87°
Last column: nearest neighbours and their distance in Å.
Positions (direct):
Co  0.0000  0.0000  0.0000  12 Co 2.45-2.67, 2 Ni 2.60
Co  0.1008  0.4165  0.6941  8 Co 2.34-2.53, 2 Ni 2.36-2.49
Co  0.1352  0.2025  0.2642  2 Ni 2.28-2.46, 5 Co 2.33-2.49
Co  0.2349  0.5852  0.9717  10 Co 2.33-2.54
Co  0.3311  0.0019  0.6651  11 Co 2.45-2.68, 3 Ni 2.59-2.60
Co  0.4275  0.4190  0.3592  8 Co 2.33-2.53, 2 Ni 2.36-2.48
Co  0.4652  0.1996  0.9366  6 Co 2.26-2.50, 1 Ni 2.46
Co  0.5348  0.8004  0.0634  6 Co 2.26-2.50, 1 Ni 2.46
Co  0.5725  0.5810  0.6408  8 Co 2.33-2.53, 2 Ni 2.36-2.48
Co  0.6689  0.9981  0.3349  11 Co 2.45-2.68, 3 Ni 2.59-2.60
Co  0.7651  0.4148  0.0283  10 Co 2.33-2.54
Co  0.8648  0.7975  0.7358  2 Ni 2.28-2.46, 5 Co 2.33-2.49
Co  0.8992  0.5835  0.3059  8 Co 2.34-2.53, 2 Ni 2.36-2.49
Ni  0.2010  0.8003  0.4003  7 Co 2.28-2.49
Ni  0.7990  0.1997  0.5997  7 Co 2.28-2.49


(10)
Crystalline CoNi3 at its relaxed geometry. Source: Alexandria via LeMat-Bulk, functional PBE-GGA.

Properties
Final energy (eV/atom): -6.097
DOS(E_F) (states/eV/atom): 1.48
ΔE_f (meV per atom): 15

Cell: 2.4727 4.0660 4.3339 Å, 90.00 90.00 90.00°
Last column: nearest neighbours and their distance in Å.
Positions (direct):
Co  0.0000  0.0000  0.0000  2 Co 2.47, 10 Ni 2.47-2.50
Ni  0.0000  0.5000  0.3254  10 Ni 2.47-2.50, 2 Co 2.47
Ni  0.5000  0.0000  0.4998  8 Ni 2.47-2.50, 4 Co 2.49-2.50
Ni  0.5000  0.5000  0.8267  8 Ni 2.47-2.50, 4 Co 2.50


(11)
Crystalline Co5Ni4 at its relaxed geometry. Source: Alexandria via LeMat-Bulk, functional PBE-GGA.

Properties
Final energy (eV/atom): -6.524
DOS(E_F) (states/eV/atom): 1.22
ΔE_f (meV per atom): -7

Cell: 5.5727 5.5727 5.5727 Å, 95.70 95.70 143.25°
Last column: nearest neighbours and their distance in Å.
Positions (direct):
Co  0.0000  0.0000  0.0000  4 Ni 2.48, 8 Co 2.48
Co  0.3340  0.3340  0.6680  6 Ni 2.48-2.50, 6 Co 2.48-2.50
Co  0.3340  0.6660  0.0000  6 Ni 2.48-2.50, 6 Co 2.48-2.50
Co  0.6660  0.3340  0.0000  6 Ni 2.48-2.50, 6 Co 2.48-2.50
Co  0.6660  0.6660  0.3320  6 Ni 2.48-2.50, 6 Co 2.48-2.50
Ni  0.0000  0.3316  0.3316  7 Co 2.48-2.50, 5 Ni 2.50-2.52
Ni  0.0000  0.6684  0.6684  7 Co 2.48-2.50, 5 Ni 2.50-2.52
Ni  0.3316  0.0000  0.3316  7 Co 2.48-2.50, 5 Ni 2.50-2.52
Ni  0.6684  0.0000  0.6684  7 Co 2.48-2.50, 5 Ni 2.50-2.52


(12)
Crystalline CoNi2 at its relaxed geometry. Source: Alexandria via LeMat-Bulk, functional PBE-GGA.

Properties
Final energy (eV/atom): -6.221
DOS(E_F) (states/eV/atom): 1.24
ΔE_f (meV per atom): 1

Cell: 4.3278 2.4721 6.0980 Å, 90.00 90.26 90.00°
Last column: nearest neighbours and their distance in Å.
Positions (direct):
Co  0.0843  0.2500  0.3343  8 Ni 2.47-2.50, 4 Co 2.47-2.48
Co  0.9157  0.7500  0.6657  8 Ni 2.47-2.50, 4 Co 2.47-2.48
Ni  0.2487  0.7500  0.9991  9 Ni 2.47-2.51, 3 Co 2.49-2.50
Ni  0.4154  0.2500  0.6650  5 Co 2.47-2.49, 7 Ni 2.47-2.51
Ni  0.5846  0.7500  0.3350  5 Co 2.47-2.49, 7 Ni 2.47-2.51
Ni  0.7513  0.2500  0.0009  9 Ni 2.47-2.51, 3 Co 2.49-2.50